[1]
YSc2Cr2 (PBE, optimized geometry); energy of formation from the pure elements = 1.624 eV/f.u.; SG = P4/mbm, No. 127
1.0
-4.658 -6.183 0.998
6.253 -4.659 0.318
0.147 0.424 3.316
Y Cr Sc
2 4 4
direct
0.000 0.000 0.000 Y
0.500 0.500 0.000 Y
0.412 0.912 0.000 Cr
0.912 0.588 0.000 Cr
0.588 0.088 0.000 Cr
0.088 0.412 0.000 Cr
0.194 0.694 0.500 Sc
0.694 0.806 0.500 Sc
0.806 0.306 0.500 Sc
0.306 0.194 0.500 Sc


[2]
Y2ScCr (PBE, optimized geometry); excess energy over the best structure of this formula in the dataset = 0.25 eV per formula unit; energy of formation from the pure elements = 1.045 eV/f.u.; SG = Cmmm, No. 65
1.0
5.096 0.015 0.000
-0.009 5.096 0.000
0.000 0.000 3.933
Cr Sc Y
1 1 2
direct
0.500 0.000 0.500 Cr
0.000 0.500 0.500 Sc
0.000 0.000 0.000 Y
0.500 0.500 0.000 Y


[3]
Y2ScCr (PBE, optimized geometry); excess energy over the best structure of this formula in the dataset = 0.57 eV per formula unit; energy of formation from the pure elements = 1.357 eV/f.u.; SG = F-43m, No. 216
1.0
-3.513 -3.043 2.400
1.573 -3.536 3.519
-1.047 0.716 5.075
Cr Sc Y
1 1 2
direct
0.500 0.500 0.500 Cr
0.750 0.750 0.750 Sc
0.000 0.000 0.000 Y
0.250 0.250 0.250 Y


Calculated values (states/eV/f.u.) of DOS(E_F) for the records, taken in order: 6.45 4.31 5.83.